(1)
VASP calculation (PBE) on an optimized crystal structure of Tb2Hg2C.

**Total energy**: -20.794 eV for the cell shown
**Formation energy from the elements**: -0.34 eV/atom
**Space group**: R-3m, No. 166

extended XYZ file:
```
5
Lattice="-1.742 3.103 0.753 -3.481 -0.078 1.053 1.163 0.321 10.153" Properties=species:S:1:pos:R:3 pbc="T T T"
C 0.000 0.000 0.000
Tb -0.970 1.422 9.464
Tb -3.090 1.924 2.494
Hg 0.046 0.586 6.479
Hg -4.106 2.760 5.479
```


(2)
VASP calculation (PBE) on an optimized crystal structure of SrLiZn.

**Energy above the most stable polymorph in this dataset**: 27 meV per atom
**Total energy**: -5.152 eV for the cell shown
**Formation energy from the elements**: -0.09 eV/atom
**Space group**: P-6m2, No. 187

extended XYZ file:
```
3
Lattice="4.794 0.000 0.000 -2.397 4.151 0.000 0.000 0.000 4.262" Properties=species:S:1:pos:R:3 pbc="T T T"
Zn 0.000 2.768 3.555
Li 0.000 0.000 3.548
Sr 2.397 1.384 1.420
```


(3)
VASP calculation (PBE) on an optimized crystal structure of CaSm2Mg3.

**Total energy**: -16.777 eV for the cell shown
**Formation energy from the elements**: -0.09 eV/atom
**Space group**: P4/mmm, No. 123

extended XYZ file:
```
6
Lattice="3.886 0.000 0.000 0.000 3.886 0.000 0.000 0.000 11.688" Properties=species:S:1:pos:R:3 pbc="T T T"
Mg 0.000 0.000 3.798
Mg 0.000 0.000 7.890
Mg 0.000 0.000 0.000
Sm 1.943 1.943 9.819
Sm 1.943 1.943 1.869
Ca 1.943 1.943 5.844
```


(4)
VASP calculation (PBE) on an optimized crystal structure of Cd2As2Ir.

**Energy above the most stable polymorph in this dataset**: 0 meV per atom
**Total energy**: -39.625 eV for the cell shown
**Formation energy from the elements**: 0.04 eV/atom
**Space group**: P4/mbm, No. 127

extended XYZ file:
```
10
Lattice="-2.777 -5.453 -1.246 4.295 -1.187 -4.376 3.076 -2.405 3.671" Properties=species:S:1:pos:R:3 pbc="T T T"
Ir 0.000 0.000 0.000
Ir 0.759 -3.320 -2.811
Cd 1.416 -3.165 0.652
Cd 3.957 -2.985 -1.359
Cd 3.178 -5.880 -2.602
Cd 0.637 -6.060 -0.591
As 2.694 -2.983 -4.211
As -1.175 -3.657 -1.411
As 1.156 -1.191 -1.749
As 0.362 -5.449 -3.872
```